VASP calculation (PBE) on a relaxed Ca2TiRuC crystal.

abc: 5.6925 5.6925 3.7951
angles: 90.00 90.00 90.00
Last column: nearest neighbours and their distance in Å.
Space group P4/mmm (No. 123)
Asymmetric unit:
Ca 0.0000 0.5000 0.0000 (multiplicity 2)  2 Ti 2.85
Ti 0.0000 0.0000 0.0000 (multiplicity 1)  2 C 1.90
Ru 0.5000 0.5000 0.5000 (multiplicity 1)  8 Ca 3.42, 2 Ru 3.80
C 0.0000 0.0000 0.5000 (multiplicity 1)  2 Ti 1.90

Calculated values
- Uncorrected energy: -23.669 eV per cell

---

VASP calculation (PBE) on a relaxed Zr2TaP crystal.

abc: 3.6511 5.0127 8.4826
angles: 90.00 90.00 90.00
Last column: nearest neighbours and their distance in Å.
Space group Cmm2 (No. 35)
Asymmetric unit:
Zr 0.0000 0.0000 0.0000 (multiplicity 2)  2 Ta 2.97, 6 Zr 3.10-3.19
Zr 0.0000 0.5000 0.3087 (multiplicity 2)  2 P 2.59
Ta 0.0000 0.5000 0.7244 (multiplicity 2)  2 P 2.49
P 0.0000 0.0000 0.5252 (multiplicity 2)  2 Ta 2.49, 2 Zr 2.59

Calculated values
- Uncorrected energy: -71.222 eV per cell

---

VASP calculation (PBE) on a relaxed Er6AlSe4 crystal.

abc: 3.9630 13.2724 20.5925
angles: 90.00 90.00 90.00
Last column: nearest neighbours and their distance in Å.
Space group Cmcm (No. 63)
Asymmetric unit:
Er 0.0000 0.0000 0.0000 (multiplicity 4)  6 Se 2.77-2.85
Er 0.0000 0.1575 0.2500 (multiplicity 4)  2 Se 2.79, 2 Al 2.99
Er 0.0000 0.2676 0.6001 (multiplicity 8)  5 Se 2.83-3.05
Er 0.0000 0.4447 0.1661 (multiplicity 8)  3 Se 2.85-2.91, 2 Al 3.07
Al 0.0000 0.1741 0.7500 (multiplicity 4)  8 Er 2.99-3.33
Se 0.0000 0.0839 0.1232 (multiplicity 8)  6 Er 2.77-2.85
Se 0.0000 0.3566 0.0366 (multiplicity 8)  6 Er 2.85-3.05

Calculated values
- Formation energy without anion corrections: -1.3155 eV per atom

---

VASP calculation (PBE) on a relaxed FeCu2Ag crystal.

abc: 4.4955 4.4955 2.7107
angles: 90.00 90.00 90.00
Last column: nearest neighbours and their distance in Å.
Space group P4/mmm (No. 123)
Asymmetric unit:
Fe 0.0000 0.0000 0.0000 (multiplicity 1)  8 Cu 2.62, 2 Fe 2.71
Cu 0.0000 0.5000 0.5000 (multiplicity 2)  4 Fe 2.62, 4 Ag 2.62, 2 Cu 2.71
Ag 0.5000 0.5000 0.0000 (multiplicity 1)  8 Cu 2.62, 2 Ag 2.71

Calculated values
- E above lowest polymorph: 114 meV per atom

---

VASP calculation (PBE) on a relaxed FeTeOs2 crystal.

abc: 8.7332 2.9606 4.9181
angles: 90.00 100.25 90.00
Last column: nearest neighbours and their distance in Å.
Space group C2/m (No. 12)
Asymmetric unit:
Fe 0.0000 0.0000 0.0000 (multiplicity 2)  6 Os 2.63-2.69, 4 Te 2.87
Te 0.0000 0.5000 0.5000 (multiplicity 2)  6 Os 2.70-2.86, 4 Fe 2.87, 2 Te 2.96
Os 0.2390 0.5000 0.2186 (multiplicity 4)  3 Fe 2.63-2.69, 2 Os 2.64, 3 Te 2.70-2.86

Calculated values
- Formation energy without anion corrections: 0.6248 eV per atom

---

VASP calculation (PBE) on a relaxed ZnPWCl2 crystal.

abc: 4.8477 4.8477 4.7614
angles: 90.00 90.00 90.00
Last column: nearest neighbours and their distance in Å.
Space group P4/mmm (No. 123)
Asymmetric unit:
Zn 0.0000 0.0000 0.0000 (multiplicity 1)  8 Cl 3.40, 4 P 3.43
P 0.5000 0.5000 0.0000 (multiplicity 1)  2 W 2.38
W 0.5000 0.5000 0.5000 (multiplicity 1)  2 P 2.38, 4 Cl 2.42
Cl 0.0000 0.5000 0.5000 (multiplicity 2)  2 W 2.42

Calculated values
- Formation energy without anion corrections: 0.2271 eV per atom
- E above lowest polymorph: 0 meV per atom

---

- Which formula does entry 3 have?
  Er6AlSe4